Entry 1:
# Na2Ga2Pb | the Alexandria database | PBE | relaxed
data_Na2Ga2Pb
_space_group_name_H-M_alt 'P 1'
_space_group_IT_number 1
_cell_length_a 4.299
_cell_length_b 4.299
_cell_length_c 13.821
_cell_angle_alpha 90.00
_cell_angle_beta 90.00
_cell_angle_gamma 90.00
loop_
_space_group_symop_operation_xyz
'x,y,z'
loop_
_atom_site_label
_atom_site_fract_x
_atom_site_fract_y
_atom_site_fract_z
_atom_site_occupancy
Na1 0.000 0.500 0.250 1
Na2 0.000 0.500 0.750 1
Na3 0.500 0.000 0.250 1
Na4 0.500 0.000 0.750 1
Ga1 0.000 0.000 0.091 1
Ga2 0.000 0.000 0.909 1
Ga3 0.500 0.500 0.409 1
Ga4 0.500 0.500 0.591 1
Pb1 0.000 0.000 0.500 1
Pb2 0.500 0.500 0.000 1
# - energy of formation (eV/atom) = 0.0399
# - Fermi-level density of states (states/eV/cell) = 4.19
# - calculated volume (Å³/cell) = 255
# - mass density (g/cm3) = 5.10


Entry 2:
# Na4GaPb | the Alexandria database | PBE | relaxed
data_Na4GaPb
_space_group_name_H-M_alt 'P 1'
_space_group_IT_number 1
_cell_length_a 5.767
_cell_length_b 5.767
_cell_length_c 12.470
_cell_angle_alpha 95.74
_cell_angle_beta 95.74
_cell_angle_gamma 124.06
loop_
_space_group_symop_operation_xyz
'x,y,z'
loop_
_atom_site_label
_atom_site_fract_x
_atom_site_fract_y
_atom_site_fract_z
_atom_site_occupancy
Na1 0.029 0.702 0.731 1
Na2 0.161 0.839 0.000 1
Na3 0.298 0.298 0.594 1
Na4 0.298 0.971 0.269 1
Na5 0.702 0.029 0.731 1
Na6 0.702 0.702 0.406 1
Na7 0.839 0.161 0.000 1
Na8 0.971 0.298 0.269 1
Ga1 0.250 0.750 0.500 1
Ga2 0.750 0.250 0.500 1
Pb1 0.434 0.434 0.871 1
Pb2 0.566 0.566 0.129 1
# - energy of formation (eV/atom) = -0.0951
# - Fermi-level density of states (states/eV/cell) = 4.99
# - calculated volume (Å³/cell) = 336
# - mass density (g/cm3) = 3.65


Entry 3:
# NaGa2Pb2 | the Alexandria database | PBE | relaxed
data_NaGa2Pb2
_space_group_name_H-M_alt 'P 1'
_space_group_IT_number 1
_cell_length_a 4.041
_cell_length_b 4.041
_cell_length_c 16.871
_cell_angle_alpha 90.00
_cell_angle_beta 90.00
_cell_angle_gamma 90.00
loop_
_space_group_symop_operation_xyz
'x,y,z'
loop_
_atom_site_label
_atom_site_fract_x
_atom_site_fract_y
_atom_site_fract_z
_atom_site_occupancy
Na1 0.000 0.000 0.000 1
Na2 0.500 0.500 0.500 1
Ga1 0.000 0.500 0.250 1
Ga2 0.000 0.500 0.750 1
Ga3 0.500 0.000 0.250 1
Ga4 0.500 0.000 0.750 1
Pb1 0.000 0.000 0.381 1
Pb2 0.000 0.000 0.619 1
Pb3 0.500 0.500 0.119 1
Pb4 0.500 0.500 0.881 1
# - energy of formation (eV/atom) = -0.0124
# - Fermi-level density of states (states/eV/cell) = 4.27
# - calculated volume (Å³/cell) = 276
# - mass density (g/cm3) = 6.95


Entry 4:
# Na3GaPb12 | the Alexandria database | PBE | relaxed
data_Na3GaPb12
_space_group_name_H-M_alt 'P 1'
_space_group_IT_number 1
_cell_length_a 4.869
_cell_length_b 4.869
_cell_length_c 20.068
_cell_angle_alpha 90.00
_cell_angle_beta 90.00
_cell_angle_gamma 90.00
loop_
_space_group_symop_operation_xyz
'x,y,z'
loop_
_atom_site_label
_atom_site_fract_x
_atom_site_fract_y
_atom_site_fract_z
_atom_site_occupancy
Na1 0.000 0.000 0.000 1
Na2 0.000 0.000 0.252 1
Na3 0.000 0.000 0.748 1
Ga1 0.000 0.000 0.500 1
Pb1 0.000 0.500 0.127 1
Pb2 0.000 0.500 0.379 1
Pb3 0.000 0.500 0.621 1
Pb4 0.000 0.500 0.873 1
Pb5 0.500 0.000 0.127 1
Pb6 0.500 0.000 0.379 1
Pb7 0.500 0.000 0.621 1
Pb8 0.500 0.000 0.873 1
Pb9 0.500 0.500 0.000 1
Pb10 0.500 0.500 0.251 1
Pb11 0.500 0.500 0.500 1
Pb12 0.500 0.500 0.749 1
# - energy of formation (eV/atom) = -0.0706
# - Fermi-level density of states (states/eV/cell) = 6.33
# - calculated volume (Å³/cell) = 476
# - mass density (g/cm3) = 9.16


Entry 5:
# Na2GaPb2 | the Alexandria database | PBE | relaxed
data_Na2GaPb2
_space_group_name_H-M_alt 'P 1'
_space_group_IT_number 1
_cell_length_a 7.650
_cell_length_b 7.650
_cell_length_c 5.110
_cell_angle_alpha 90.00
_cell_angle_beta 90.00
_cell_angle_gamma 90.00
loop_
_space_group_symop_operation_xyz
'x,y,z'
loop_
_atom_site_label
_atom_site_fract_x
_atom_site_fract_y
_atom_site_fract_z
_atom_site_occupancy
Na1 0.163 0.337 0.000 1
Na2 0.337 0.837 0.000 1
Na3 0.663 0.163 0.000 1
Na4 0.837 0.663 0.000 1
Ga1 0.000 0.000 0.500 1
Ga2 0.500 0.500 0.500 1
Pb1 0.147 0.647 0.500 1
Pb2 0.353 0.147 0.500 1
Pb3 0.647 0.853 0.500 1
Pb4 0.853 0.353 0.500 1
# - energy of formation (eV/atom) = -0.0632
# - Fermi-level density of states (states/eV/cell) = 3.90
# - calculated volume (Å³/cell) = 299
# - mass density (g/cm3) = 5.89


Entry 6:
# Na2GaPb | the Alexandria database | PBE | relaxed
data_Na2GaPb
_space_group_name_H-M_alt 'P 1'
_space_group_IT_number 1
_cell_length_a 4.546
_cell_length_b 4.546
_cell_length_c 4.937
_cell_angle_alpha 90.00
_cell_angle_beta 90.00
_cell_angle_gamma 90.00
loop_
_space_group_symop_operation_xyz
'x,y,z'
loop_
_atom_site_label
_atom_site_fract_x
_atom_site_fract_y
_atom_site_fract_z
_atom_site_occupancy
Na1 0.000 0.500 0.000 1
Na2 0.500 0.000 0.000 1
Ga1 0.000 0.000 0.500 1
Pb1 0.500 0.500 0.500 1
# - energy of formation (eV/atom) = -0.0543
# - Fermi-level density of states (states/eV/cell) = 2.62
# - calculated volume (Å³/cell) = 102
# - mass density (g/cm3) = 5.26


Entry 7:
# NaScGaPb | the Alexandria database | PBE | relaxed
data_NaScGaPb
_space_group_name_H-M_alt 'P 1'
_space_group_IT_number 1
_cell_length_a 7.201
_cell_length_b 7.201
_cell_length_c 7.201
_cell_angle_alpha 90.00
_cell_angle_beta 90.00
_cell_angle_gamma 90.00
loop_
_space_group_symop_operation_xyz
'x,y,z'
loop_
_atom_site_label
_atom_site_fract_x
_atom_site_fract_y
_atom_site_fract_z
_atom_site_occupancy
Na1 0.000 0.000 0.000 1
Na2 0.000 0.500 0.500 1
Na3 0.500 0.000 0.500 1
Na4 0.500 0.500 0.000 1
Sc1 0.000 0.000 0.500 1
Sc2 0.000 0.500 0.000 1
Sc3 0.500 0.000 0.000 1
Sc4 0.500 0.500 0.500 1
Ga1 0.250 0.250 0.750 1
Ga2 0.250 0.750 0.250 1
Ga3 0.750 0.250 0.250 1
Ga4 0.750 0.750 0.750 1
Pb1 0.250 0.250 0.250 1
Pb2 0.250 0.750 0.750 1
Pb3 0.750 0.250 0.750 1
Pb4 0.750 0.750 0.250 1
# - energy of formation (eV/atom) = -0.1596
# - Fermi-level density of states (states/eV/cell) = 10.37
# - calculated volume (Å³/cell) = 373
# - mass density (g/cm3) = 6.13


Entry 8:
# Na2GaPbSe4 | the Alexandria database | PBE | relaxed
data_Na2GaPbSe4
_space_group_name_H-M_alt 'P 1'
_space_group_IT_number 1
_cell_length_a 7.681
_cell_length_b 7.681
_cell_length_c 6.935
_cell_angle_alpha 90.00
_cell_angle_beta 90.00
_cell_angle_gamma 90.00
loop_
_space_group_symop_operation_xyz
'x,y,z'
loop_
_atom_site_label
_atom_site_fract_x
_atom_site_fract_y
_atom_site_fract_z
_atom_site_occupancy
Na1 0.000 0.500 0.000 1
Na2 0.000 0.500 0.500 1
Na3 0.500 0.000 0.000 1
Na4 0.500 0.000 0.500 1
Ga1 0.000 0.000 0.000 1
Ga2 0.500 0.500 0.500 1
Pb1 0.000 0.000 0.500 1
Pb2 0.500 0.500 0.000 1
Se1 0.186 0.186 0.796 1
Se2 0.186 0.814 0.204 1
Se3 0.314 0.314 0.296 1
Se4 0.314 0.686 0.704 1
Se5 0.686 0.314 0.704 1
Se6 0.686 0.686 0.296 1
Se7 0.814 0.186 0.204 1
Se8 0.814 0.814 0.796 1
# - formation energy (no corrections) (eV/atom) = -0.688
# - Fermi-level density of states (states/eV/cell) = 6.68
# - calculated volume (Å³/cell) = 409
# - mass density (g/cm3) = 5.18


> Which of these has the highest mass density?

Na3GaPb12


> Look up the mass density of the fifth one.

5.89 g/cm3


> Look up the Fermi-level density of states of the seventh one.

10.37 states/eV/cell